Record 1
Entry from the Alexandria database: a geometry-optimized Mg2TaOs2 structure (PBE-GGA).

Cell lengths 6.5205, 6.5205, 4.3561 Å; angles 90.00, 90.00, 90.00 degrees
Space group P4/mbm (No. 127)
Inequivalent atoms, fractional coordinates:
Mg (0.1710, 0.3290, 0.0000)
Ta (0.0000, 0.0000, 0.5000)
Os (0.1328, 0.6328, 0.5000)

Summary:
The density of states at the Fermi level comes out at 0.86 states/eV per atom. Its final energy is -7.27 eV per atom. The value obtained for the energy relative to the lowest polymorph listed for this composition is 0.0 meV/atom.

=====

Record 2
Entry from the Alexandria database: a geometry-optimized MgTa3Os4 structure (PBE-GGA).

Cell lengths 4.4717, 4.4717, 12.6726 Å; angles 90.00, 90.00, 90.00 degrees
Space group I4/mmm (No. 139)
Inequivalent atoms, fractional coordinates:
Mg (0.0000, 0.0000, 0.0000)
Ta (0.0000, 0.0000, 0.2474)
Ta (0.0000, 0.0000, 0.5000)
Os (0.0000, 0.5000, 0.1246)

Summary:
The density of states at the Fermi level comes out at 0.27 states/eV per atom. Its final energy is -10.59 eV per atom.

=====

Record 3
Entry from the Alexandria database: a geometry-optimized MgTaTcOs structure (PBE-GGA).

Cell lengths 6.3142, 6.3142, 6.3142 Å; angles 90.00, 90.00, 90.00 degrees
Space group F-43m (No. 216)
Inequivalent atoms, fractional coordinates:
Mg (0.0000, 0.0000, 0.0000)
Ta (0.0000, 0.0000, 0.5000)
Tc (0.2500, 0.2500, 0.7500)
Os (0.2500, 0.2500, 0.2500)

Summary:
The density of states at the Fermi level comes out at 1.43 states/eV per atom. Its final energy is -8.85 eV per atom.

=====

Respective ρ values: 10.939; 17.405; 13.020 g cm⁻³.
Respective calculated formation energy values: 229; -334; -87 meV per atom.